Compound: NiIF3
Source: Alexandria via LeMat-Bulk
Functional: GGA+U
Structure: relaxed

spin magnetization	0.22	μB/atom
density	3.89	g cm⁻³
crystal system	cubic
energy above the lowest structure with this stoichiometry	1206	meV/atom
SG	Pm-3m (221)

```
NiIF3
1.0
4.6969 0.0000 0.0000
0.0000 4.6969 0.0000
0.0000 0.0000 4.6969
I Ni F
1 1 3
Direct
0.0000 0.0000 0.0000
0.5000 0.5000 0.5000
0.0000 0.5000 0.0000
0.0000 0.0000 0.5000
0.5000 0.0000 0.0000
```